# 1
Here is KHfMn2F after structural relaxation from Alexandria. Energies are from PBE+U.

Geometry as CIF:
```
data_KHfMn2F
_chemical_formula_sum 'K1 Hf1 Mn2 F1'
_symmetry_space_group_name_H-M 'P 1'
_symmetry_Int_Tables_number 1
_cell_length_a 6.0010
_cell_length_b 6.0010
_cell_length_c 4.1088
_cell_angle_alpha 90.00
_cell_angle_beta 90.00
_cell_angle_gamma 90.00
loop_
_symmetry_equiv_pos_as_xyz
'x,y,z'
loop_
_atom_site_label
_atom_site_type_symbol
_atom_site_fract_x
_atom_site_fract_y
_atom_site_fract_z
K1 K 0.0000 0.0000 0.0000
Hf1 Hf 0.5000 0.5000 0.5000
Mn1 Mn 0.0000 0.5000 0.5000
Mn2 Mn 0.5000 0.0000 0.5000
F1 F 0.5000 0.5000 0.0000
```

* crystal system: tetragonal
* uncorrected energy: -5.5548 eV/atom
* space group: P4/mmm
* Fermi-level density of states: 3.9 states/eV/cell

=====

# 2
Here is K2HfMoF after structural relaxation from Alexandria. Energies are from PBE+U.

Geometry as CIF:
```
data_K2HfMoF
_chemical_formula_sum 'K2 Hf1 Mo1 F1'
_symmetry_space_group_name_H-M 'P 1'
_symmetry_Int_Tables_number 1
_cell_length_a 6.6770
_cell_length_b 6.6770
_cell_length_c 5.0824
_cell_angle_alpha 90.00
_cell_angle_beta 90.00
_cell_angle_gamma 90.00
loop_
_symmetry_equiv_pos_as_xyz
'x,y,z'
loop_
_atom_site_label
_atom_site_type_symbol
_atom_site_fract_x
_atom_site_fract_y
_atom_site_fract_z
K1 K 0.0000 0.5000 0.0000
K2 K 0.5000 0.0000 0.0000
Hf1 Hf 0.0000 0.0000 0.5000
Mo1 Mo 0.0000 0.0000 0.0000
F1 F 0.5000 0.5000 0.5000
```

* crystal system: tetragonal
* uncorrected energy: -3.4399 eV/atom
* space group: P4/mmm
* Fermi-level density of states: 4.2 states/eV/cell

=====

Question: Look up the uncorrected energy of the first one.
Answer: -5.5548 eV/atom

=====

Question: Among the records above, which one has the lowest uncorrected energy?
Answer: KHfMn2F

=====

Question: Which of these has the lowest Fermi-level density of states?
Answer: KHfMn2F